Record 1
DFT (PBE-GGA) results for crystalline InAu3I9 at its relaxed geometry.

Unit cell a=21.1704 b=8.7484 c=14.9646 alpha=90.00 beta=123.91 gamma=90.00
Space group Cc (No. 9)
Asymmetric unit:
In  0.0000  0.2503  0.0000 x4
Au  0.0552  0.1381  0.7211 x4
Au  0.2499  0.4096  0.2503 x4
Au  0.4443  0.1380  0.7788 x4
I  0.0437  0.3224  0.2282 x4
I  0.0869  0.0351  0.5822 x4
I  0.1387  0.4210  0.0491 x4
I  0.2030  0.2632  0.8542 x4
I  0.2496  0.0020  0.9996 x4
I  0.2959  0.2595  0.6447 x4
I  0.3613  0.4200  0.4515 x4
I  0.4133  0.0361  0.9186 x4
I  0.4559  0.3220  0.2720 x4

Calculated values
As for the total energy: -111.296 eV/cell. The density of states at the Fermi level is 9.81 states/eV/f.u. As for the crystal system: monoclinic. For the formation energy from raw total energies, the calculation gives -0.100 eV per atom.

---

Record 2
DFT (PBE-GGA) results for crystalline Pm8C3S4Cl at its relaxed geometry.

Unit cell a=7.8224 b=7.8224 c=19.5593 alpha=90.00 beta=90.00 gamma=120.00
Space group R-3m (No. 166, hexagonal axes)
Asymmetric unit:
Pm  0.0000  0.0000  0.2394 x6
Pm  0.0227  0.5114  0.7583 x18
C  0.0000  0.5000  0.5000 x9
S  0.0000  0.0000  0.0000 x3
S  0.0000  0.5000  0.0000 x9
Cl  0.0000  0.0000  0.5000 x3

Calculated values
As for the total energy: -315.868 eV/cell. The density of states at the Fermi level is 3.78 states/eV/f.u. As for the crystal system: trigonal. For the formation energy from raw total energies, the calculation gives -1.329 eV per atom.

---

Record 3
DFT (PBE-GGA) results for crystalline Dy2CoAs at its relaxed geometry.

Unit cell a=3.8150 b=3.8150 c=25.3883 alpha=90.00 beta=90.00 gamma=120.00
Space group R-3m (No. 166, hexagonal axes)
Asymmetric unit:
Dy  0.0000  0.0000  0.0983 x6
Co  0.0000  0.0000  0.0000 x3
As  0.0000  0.0000  0.5000 x3

Calculated values
The calculation puts the energy of formation at 0.034 eV/atom. As for the total energy: -62.473 eV/cell. The density of states at the Fermi level is 3.63 states/eV/f.u. As for the crystal system: trigonal.

---

Record 4
DFT (PBE-GGA) results for crystalline BeCuSe at its relaxed geometry.

Unit cell a=3.3427 b=4.6618 c=11.8401 alpha=90.00 beta=90.00 gamma=90.00
Space group Fmm2 (No. 42)
Asymmetric unit:
Be  0.0000  0.0000  0.0000 x4
Cu  0.0000  0.0000  0.3753 x4
Se  0.0000  0.0000  0.6304 x4

Calculated values
As for the total energy: -41.391 eV/cell. The density of states at the Fermi level is 0.44 states/eV/f.u. As for the crystal system: orthorhombic. For the formation energy from raw total energies, the calculation gives 0.320 eV per atom. Its relative energy among the computed polymorphs is 0.1976 eV/atom.

---

Record 5
DFT (PBE-GGA) results for crystalline Nd5Sm2Y3 at its relaxed geometry.

Unit cell a=12.2779 b=17.3748 c=6.5260 alpha=90.00 beta=90.00 gamma=90.00
Space group Ibam (No. 72)
Asymmetric unit:
Nd  0.0000  0.0000  0.2500 x4
Nd  0.2458  0.1696  0.0000 x8
Nd  0.2479  0.5000  0.2500 x8
Sm  0.0863  0.3311  0.0000 x8
Y  0.0000  0.5000  0.2500 x4
Y  0.0903  0.1681  0.5000 x8

Calculated values
The calculation puts the energy of formation at 0.272 eV/atom. As for the total energy: -199.786 eV/cell. The density of states at the Fermi level is 15.87 states/eV/f.u. As for the crystal system: orthorhombic. Its relative energy among the computed polymorphs is 0.0914 eV/atom.

---

Record 6
DFT (PBE-GGA) results for crystalline LiMnCr2 at its relaxed geometry.

Unit cell a=2.3765 b=2.3765 c=8.6488 alpha=90.00 beta=90.00 gamma=90.00
Space group P4/mmm (No. 123)
Asymmetric unit:
Li  0.0000  0.0000  0.0000 x1
Mn  0.0000  0.0000  0.5000 x1
Cr  0.5000  0.5000  0.2685 x2

Calculated values
The calculation puts the energy of formation at 0.395 eV/atom. As for the total energy: -28.751 eV/cell. The density of states at the Fermi level is 4.68 states/eV/f.u. As for the crystal system: tetragonal. Its relative energy among the computed polymorphs is 0.1493 eV/atom.

---

Repeat the sixth record exactly.
DFT (PBE-GGA) results for crystalline LiMnCr2 at its relaxed geometry.

Unit cell a=2.3765 b=2.3765 c=8.6488 alpha=90.00 beta=90.00 gamma=90.00
Space group P4/mmm (No. 123)
Asymmetric unit:
Li  0.0000  0.0000  0.0000 x1
Mn  0.0000  0.0000  0.5000 x1
Cr  0.5000  0.5000  0.2685 x2

Calculated values
The calculation puts the energy of formation at 0.395 eV/atom. As for the total energy: -28.751 eV/cell. The density of states at the Fermi level is 4.68 states/eV/f.u. As for the crystal system: tetragonal. Its relative energy among the computed polymorphs is 0.1493 eV/atom.